Entry 1:
Below is a relaxed structure of Ti2NiO, with properties calculated at the PBE with a Hubbard U level.

extended XYZ file:
```
4
Lattice="-2.524 0.565 -0.969 -2.213 -1.216 1.119 -2.192 5.368 4.904" Properties=species:S:1:pos:R:3 pbc="T T T"
Ni 0.000 0.000 0.000
O -3.465 2.359 2.527
Ti -2.004 3.653 3.413
Ti -4.926 1.065 1.641
```

***

Entry 2:
Below is a relaxed structure of TiNi3O, with properties calculated at the PBE with a Hubbard U level.

extended XYZ file:
```
5
Lattice="-2.521 -0.693 2.973 0.056 -3.866 -0.854 3.052 -0.502 2.471" Properties=species:S:1:pos:R:3 pbc="T T T"
Ti 0.294 -2.530 2.295
Ni 0.028 -1.933 -0.427
Ni 1.526 -0.251 1.236
Ni -1.260 -0.346 1.487
O 0.000 0.000 0.000
```

***

Entry 3:
Below is a relaxed structure of Ti2NiO, with properties calculated at the PBE with a Hubbard U level.

extended XYZ file:
```
8
Lattice="5.603 0.000 0.000 0.000 5.603 0.000 2.801 2.801 3.472" Properties=species:S:1:pos:R:3 pbc="T T T"
Ni 0.000 0.000 0.000
Ni 5.603 2.801 1.736
O 2.801 2.801 0.000
O 2.801 5.603 1.736
Ti 3.875 1.401 0.868
Ti 1.728 4.202 0.868
Ti 4.202 4.529 2.604
Ti 7.003 6.676 2.604
```

***

Entry 4:
Below is a relaxed structure of Ti3Ni3O, with properties calculated at the PBE with a Hubbard U level.

extended XYZ file:
```
28
Lattice="0.000 5.614 5.614 5.614 0.000 5.614 5.614 5.614 0.000" Properties=species:S:1:pos:R:3 pbc="T T T"
Ti 5.614 5.614 2.093
Ti 2.807 0.714 2.807
Ti 2.807 4.899 2.807
Ti 2.807 2.807 4.899
Ti 0.714 2.807 2.807
Ti 4.899 2.807 2.807
Ti 2.093 5.614 5.614
Ti 5.614 2.093 5.614
Ti 5.614 9.135 5.614
Ti 9.135 5.614 5.614
Ti 2.807 2.807 0.714
Ti 5.614 5.614 9.135
Ni 7.017 7.017 7.017
Ni 4.210 7.017 4.210
Ni 4.210 4.210 7.017
Ni 7.017 4.210 4.210
Ni 9.408 9.408 9.408
Ni 6.601 4.626 6.601
Ni 6.601 6.601 4.626
Ni 4.626 6.601 6.601
Ni 7.433 7.433 9.408
Ni 9.408 7.433 7.433
Ni 7.433 9.408 7.433
Ni 4.626 4.626 4.626
O 1.403 1.403 1.403
O 4.210 1.403 4.210
O 4.210 4.210 1.403
O 1.403 4.210 4.210
```

***

no.,density of states at the Fermi level (states/eV per atom),electronic total energy (eV/atom)
1,0.782,-6.4451
2,1.168,-3.7886
3,0.736,-6.5874
4,0.613,-5.5938